Pm4Nd2Sm2Ho (PBE-GGA, relaxed); energy relative to the elements = 0.1 eV per formula unit; space group = C2/m, No. 12; crystal system = monoclinic
1.0
9.512 -1.835 0.000
9.512 1.835 0.000
-4.218 0.000 8.809
Pm Nd Sm Ho
4 2 2 1
direct
0.018 0.018 0.331
0.315 0.315 0.667
0.685 0.685 0.333
0.982 0.982 0.669
0.165 0.165 0.999
0.835 0.835 0.001
0.352 0.352 0.333
0.648 0.648 0.667
0.500 0.500 0.000

***

SbAuS2 (PBE-GGA, relaxed); space group = R-3m, No. 166; crystal system = trigonal
1.0
3.696 0.000 0.000
-1.848 3.200 0.000
0.000 0.000 24.234
Sb Au S
3 3 6
direct
0.000 0.000 0.000
0.333 0.667 0.667
0.667 0.333 0.333
0.000 0.000 0.500
0.333 0.667 0.167
0.667 0.333 0.833
0.000 0.000 0.110
0.000 0.000 0.890
0.333 0.667 0.557
0.333 0.667 0.776
0.667 0.333 0.224
0.667 0.333 0.443

***

K4ErU3S8 (PBE-GGA, relaxed); space group = R-3m, No. 166; crystal system = trigonal
1.0
4.035 2.329 7.425
-4.035 2.329 7.425
0.000 -4.659 7.425
K Er U S
4 1 3 8
direct
0.000 0.000 0.000
0.000 0.500 0.500
0.500 0.000 0.500
0.500 0.500 0.000
0.500 0.500 0.500
0.000 0.000 0.500
0.000 0.500 0.000
0.500 0.000 0.000
0.235 0.235 0.235
0.238 0.733 0.733
0.267 0.267 0.762
0.267 0.762 0.267
0.733 0.238 0.733
0.733 0.733 0.238
0.762 0.267 0.267
0.765 0.765 0.765

***

Mg9Si5 (PBE-GGA, relaxed); energy above the most stable polymorph in this dataset = 82.8 meV/atom; space group = P1, No. 1; crystal system = triclinic
1.0
7.232 0.000 0.000
3.510 6.398 0.000
1.187 2.317 12.142
Mg Si
18 10
direct
0.000 0.000 0.000
0.003 0.380 0.069
0.156 0.725 0.382
0.176 0.597 0.706
0.303 0.929 0.544
0.314 0.980 0.209
0.327 0.133 0.901
0.396 0.647 0.917
0.526 0.334 0.548
0.554 0.182 0.076
0.564 0.497 0.196
0.626 0.021 0.376
0.639 0.898 0.731
0.845 0.716 0.212
0.881 0.548 0.549
0.899 0.422 0.834
0.914 0.253 0.380
0.958 0.065 0.727
0.231 0.217 0.684
0.237 0.317 0.416
0.249 0.392 0.214
0.564 0.560 0.703
0.571 0.665 0.379
0.630 0.252 0.856
0.644 0.774 0.015
0.897 0.067 0.212
0.898 0.935 0.549
0.972 0.713 0.900

***

Number 1: total energy -0.3468 Ry/atom. Number 2: total energy -0.2708 Ry/atom. Number 3: total energy -0.4584 Ry/atom. Number 4: total energy -0.2199 Ry/atom.